No. 1
## K3La3TiS8 (GGA-PBE)

Data for an optimized crystal structure of K3La3TiS8.

The structure in CIF format:
```
data_K3La3TiS8
_chemical_formula_sum 'K9 La9 Ti3 S24'
_space_group_name_H-M_alt 'R -3 m'
_space_group_IT_number 166
_space_group_name_Hall '-R 3 2"'
_cell_length_a 8.2559
_cell_length_b 8.2559
_cell_length_c 22.4274
_cell_angle_alpha 90.00
_cell_angle_beta 90.00
_cell_angle_gamma 120.00
loop_
_atom_site_label
_atom_site_fract_x
_atom_site_fract_y
_atom_site_fract_z
K1 0.0000 0.5000 0.0000
La1 0.0000 0.5000 0.5000
Ti1 0.0000 0.0000 0.5000
S1 0.0000 0.0000 0.2373
S2 0.0407 0.5203 0.2292
```

Output
Raw formation energy ... -1.750 eV/atom
DFT total energy ... -5.6825 eV/atom
Magnetic moment ... 0.000 μB per atom

---

No. 2
## K4La3TiS8 (GGA-PBE)

Data for an optimized crystal structure of K4La3TiS8.

The structure in CIF format:
```
data_K4La3TiS8
_chemical_formula_sum 'K12 La9 Ti3 S24'
_space_group_name_H-M_alt 'R -3 m'
_space_group_IT_number 166
_space_group_name_Hall '-R 3 2"'
_cell_length_a 8.3029
_cell_length_b 8.3029
_cell_length_c 22.0938
_cell_angle_alpha 90.00
_cell_angle_beta 90.00
_cell_angle_gamma 120.00
loop_
_atom_site_label
_atom_site_fract_x
_atom_site_fract_y
_atom_site_fract_z
K1 0.0000 0.0000 0.0000
K2 0.0000 0.5000 0.0000
La1 0.0000 0.5000 0.5000
Ti1 0.0000 0.0000 0.5000
S1 0.0000 0.0000 0.2381
S2 0.0285 0.5142 0.2326
```

Output
Raw formation energy ... -1.712 eV/atom
DFT total energy ... -5.4675 eV/atom
Magnetic moment ... 0.063 μB per atom

---

No. 3
## K3La2TiS6 (GGA-PBE)

Data for an optimized crystal structure of K3La2TiS6.

The structure in CIF format:
```
data_K3La2TiS6
_chemical_formula_sum 'K6 La4 Ti2 S12'
_space_group_name_H-M_alt 'C 1 2/m 1'
_space_group_IT_number 12
_cell_length_a 7.113
_cell_length_b 12.300
_cell_length_c 7.727
_cell_angle_alpha 90.00
_cell_angle_beta 107.80
_cell_angle_gamma 90.00
loop_
_space_group_symop_operation_xyz
'x,y,z'
'-x,-y,-z'
'-x,y,-z'
'x,-y,z'
'x+1/2,y+1/2,z'
'-x+1/2,-y+1/2,-z'
'-x+1/2,y+1/2,-z'
'x+1/2,-y+1/2,z'
loop_
_atom_site_label
_atom_site_fract_x
_atom_site_fract_y
_atom_site_fract_z
K1 0.000 0.000 0.000
K2 0.000 0.332 0.000
La1 0.000 0.168 0.500
Ti1 0.000 0.500 0.500
S1 0.220 0.348 0.701
S2 0.233 0.500 0.304
```

Output
Raw formation energy ... -1.663 eV/atom
DFT total energy ... -5.4799 eV/atom
Magnetic moment ... 0.084 μB per atom

---

No. 4
## K4La3TlS8 (GGA-PBE)

Data for an optimized crystal structure of K4La3TlS8.

The structure in CIF format:
```
data_K4La3TlS8
_chemical_formula_sum 'K12 La9 Tl3 S24'
_space_group_name_H-M_alt 'R -3 m'
_space_group_IT_number 166
_space_group_name_Hall '-R 3 2"'
_cell_length_a 8.4647
_cell_length_b 8.4647
_cell_length_c 22.2650
_cell_angle_alpha 90.00
_cell_angle_beta 90.00
_cell_angle_gamma 120.00
loop_
_atom_site_label
_atom_site_fract_x
_atom_site_fract_y
_atom_site_fract_z
K1 0.0000 0.0000 0.0000
K2 0.0000 0.5000 0.0000
La1 0.0000 0.5000 0.5000
Tl1 0.0000 0.0000 0.5000
S1 0.0000 0.0000 0.2359
S2 0.0063 0.5032 0.2365
```

Output
Raw formation energy ... -1.551 eV/atom
DFT total energy ... -4.9607 eV/atom
Magnetic moment ... 0.000 μB per atom

---

No. 5
## K4La3TmS8 (GGA-PBE)

Data for an optimized crystal structure of K4La3TmS8.

The structure in CIF format:
```
data_K4La3TmS8
_chemical_formula_sum 'K12 La9 Tm3 S24'
_space_group_name_H-M_alt 'R -3 m'
_space_group_IT_number 166
_space_group_name_Hall '-R 3 2"'
_cell_length_a 8.4422
_cell_length_b 8.4422
_cell_length_c 22.1127
_cell_angle_alpha 90.00
_cell_angle_beta 90.00
_cell_angle_gamma 120.00
loop_
_atom_site_label
_atom_site_fract_x
_atom_site_fract_y
_atom_site_fract_z
K1 0.0000 0.0000 0.0000
K2 0.0000 0.5000 0.0000
La1 0.0000 0.5000 0.5000
Tm1 0.0000 0.0000 0.5000
S1 0.0000 0.0000 0.2367
S2 0.0137 0.5069 0.2347
```

Output
Raw formation energy ... -1.902 eV/atom
DFT total energy ... -5.4438 eV/atom
Magnetic moment ... 0.000 μB per atom

---

No. 6
## KLaTm4S8 (GGA-PBE)

Data for an optimized crystal structure of KLaTm4S8.

The structure in CIF format:
```
data_KLaTm4S8
_chemical_formula_sum 'K3 La3 Tm12 S24'
_space_group_name_H-M_alt 'R 3 m'
_space_group_IT_number 160
_space_group_name_Hall 'R 3 -2"'
_cell_length_a 8.1038
_cell_length_b 8.1038
_cell_length_c 20.6590
_cell_angle_alpha 90.00
_cell_angle_beta 90.00
_cell_angle_gamma 120.00
loop_
_atom_site_label
_atom_site_fract_x
_atom_site_fract_y
_atom_site_fract_z
K1 0.0000 0.0000 0.0000
La1 0.0000 0.0000 0.6345
Tm1 0.0000 0.0000 0.2560
Tm2 0.1726 0.3453 0.4623
S1 0.0000 0.0000 0.3872
S2 0.0000 0.0000 0.8621
S3 0.0367 0.5183 0.3914
S4 0.1722 0.3444 0.2075
```

Output
Raw formation energy ... -1.935 eV/atom
DFT total energy ... -6.0015 eV/atom
Magnetic moment ... 0.000 μB per atom

---

No. 7
## K3La2US6 (GGA-PBE)

Data for an optimized crystal structure of K3La2US6.

The structure in CIF format:
```
data_K3La2US6
_chemical_formula_sum 'K6 La4 U2 S12'
_space_group_name_H-M_alt 'C 1 2/m 1'
_space_group_IT_number 12
_cell_length_a 7.324
_cell_length_b 12.688
_cell_length_c 7.773
_cell_angle_alpha 90.00
_cell_angle_beta 108.33
_cell_angle_gamma 90.00
loop_
_space_group_symop_operation_xyz
'x,y,z'
'-x,-y,-z'
'-x,y,-z'
'x,-y,z'
'x+1/2,y+1/2,z'
'-x+1/2,-y+1/2,-z'
'-x+1/2,y+1/2,-z'
'x+1/2,-y+1/2,z'
loop_
_atom_site_label
_atom_site_fract_x
_atom_site_fract_y
_atom_site_fract_z
K1 0.000 0.000 0.000
K2 0.000 0.332 0.000
La1 0.000 0.167 0.500
U1 0.000 0.500 0.500
S1 0.230 0.339 0.707
S2 0.247 0.000 0.706
```

Output
Raw formation energy ... -1.718 eV/atom
DFT total energy ... -5.8179 eV/atom
Magnetic moment ... 0.251 μB per atom

---

No. 8
## K2LaUS4 (GGA-PBE)

Data for an optimized crystal structure of K2LaUS4.

The structure in CIF format:
```
data_K2LaUS4
_chemical_formula_sum 'K2 La1 U1 S4'
_space_group_name_H-M_alt 'P 1 2/m 1'
_space_group_IT_number 10
_cell_length_a 7.261
_cell_length_b 4.178
_cell_length_c 7.778
_cell_angle_alpha 90.00
_cell_angle_beta 108.11
_cell_angle_gamma 90.00
loop_
_space_group_symop_operation_xyz
'x,y,z'
'-x,-y,-z'
'-x,y,-z'
'x,-y,z'
loop_
_atom_site_label
_atom_site_fract_x
_atom_site_fract_y
_atom_site_fract_z
K1 0.000 0.000 0.000
K2 0.500 0.500 0.000
La1 0.000 0.500 0.500
U1 0.500 0.000 0.500
S1 0.247 0.000 0.709
S2 0.276 0.500 0.297
```

Output
Raw formation energy ... -1.629 eV/atom
DFT total energy ... -5.9937 eV/atom
Magnetic moment ... 0.376 μB per atom

---

What is the raw formation energy in the sixth record?
-1.935 eV/atom